Material: Ac4Sn2N
Method: DFT, PBE
State: relaxed

Cell and atoms, written as CIF:
```
data_Ac4Sn2N
_chemical_formula_sum 'Ac8 Sn4 N2'
_symmetry_space_group_name_H-M 'P 1'
_symmetry_Int_Tables_number 1
_cell_length_a 9.582
_cell_length_b 9.582
_cell_length_c 7.333
_cell_angle_alpha 90.00
_cell_angle_beta 90.00
_cell_angle_gamma 134.97
loop_
_symmetry_equiv_pos_as_xyz
'x,y,z'
loop_
_atom_site_label
_atom_site_fract_x
_atom_site_fract_y
_atom_site_fract_z
Ac1 0.169 0.831 0.999
Ac2 0.250 0.250 0.250
Ac3 0.250 0.250 0.750
Ac4 0.331 0.669 0.499
Ac5 0.669 0.331 0.501
Ac6 0.750 0.750 0.250
Ac7 0.750 0.750 0.750
Ac8 0.831 0.169 0.001
Sn1 0.139 0.861 0.500
Sn2 0.361 0.639 0.000
Sn3 0.639 0.361 0.000
Sn4 0.861 0.139 0.500
N1 0.000 0.000 0.000
N2 0.500 0.500 0.500
```

Output
For the total DFT energy (no corrections), the calculation gives -5.45 eV/atom. The density of states at the Fermi level is 0.6123 states/eV/atom.